A relaxed structure of LiTcGe2. Source: the Alexandria database, functional GGA-PBE.

## Properties
distance to the lowest polymorph of the same formula: 0.68 eV per formula unit
ΔE_f: -11 meV/atom

Cell lengths 4.3028, 4.3028, 3.1601 Å; angles 90.00, 90.00, 90.00 degrees
With the nearest neighbours (Å) after each atom.
Space group P4/mmm (No. 123)
Inequivalent atoms, fractional coordinates:
1 Li 0.0000 0.0000 0.0000 (multiplicity 1)  8 Ge 2.67
2 Tc 0.5000 0.5000 0.0000 (multiplicity 1)  8 Ge 2.67
3 Ge 0.0000 0.5000 0.5000 (multiplicity 2)  4 Li 2.67, 4 Tc 2.67

---

A relaxed structure of VMoSeBr2. Source: the Alexandria database, functional GGA-PBE.

## Properties
distance to the lowest polymorph of the same formula: 0.00 eV per formula unit
uncorrected formation energy: 0.4514 eV per atom

Cell lengths 5.1456, 5.1456, 4.8906 Å; angles 90.00, 90.00, 90.00 degrees
With the nearest neighbours (Å) after each atom.
Space group P4/mmm (No. 123)
Inequivalent atoms, fractional coordinates:
1 V 0.0000 0.0000 0.0000 (multiplicity 1)  2 Se 2.45, 4 Br 2.57
2 Mo 0.5000 0.5000 0.5000 (multiplicity 1)  8 Br 3.55, 4 Se 3.64
3 Se 0.0000 0.0000 0.5000 (multiplicity 1)  2 V 2.45
4 Br 0.0000 0.5000 0.0000 (multiplicity 2)  2 V 2.57

---

A relaxed structure of KMo2IrBr. Source: the Alexandria database, functional GGA-PBE.

## Properties
uncorrected formation energy: 3.1650 eV per atom

Cell lengths 4.5338, 4.5338, 5.1442 Å; angles 90.00, 90.00, 90.00 degrees
With the nearest neighbours (Å) after each atom.
Space group P4/mmm (No. 123)
Inequivalent atoms, fractional coordinates:
1 K 0.0000 0.0000 0.0000 (multiplicity 1)  4 Mo 2.27
2 Mo 0.0000 0.5000 0.0000 (multiplicity 2)  2 K 2.27
3 Ir 0.5000 0.5000 0.5000 (multiplicity 1)  4 Br 3.21, 8 Mo 3.43
4 Br 0.0000 0.0000 0.5000 (multiplicity 1)  2 K 2.57

---

| no. | energy (eV per cell) |
| --- | --- |
| 1 | -21.559 |
| 2 | -24.523 |
| 3 | -17.469 |